Record 1
A plane-wave DFT calculation with PBE-GGA was carried out for a relaxed structure of KReTc2.

Properties
Energy relative to the lowest polymorph listed for this composition in kJ per mole of atoms: 7.2
ΔH_f (0 K) in eV/f.u.: 3.15
Total magnetic moment in μB per formula unit: 0.0
Final energy in eV/f.u.: -31.13
Calculated volume in Å³ per atom: 19.0
Space-group type: P4/mmm (123)

```
data_KReTc2
_cell_length_a 2.803
_cell_length_b 2.803
_cell_length_c 9.663
_cell_angle_alpha 90.00
_cell_angle_beta 90.00
_cell_angle_gamma 90.00
_space_group_name_H-M_alt 'P 1'
_space_group_IT_number 1
loop_
_space_group_symop_operation_xyz
'x,y,z'
loop_
_atom_site_label
_atom_site_type_symbol
_atom_site_fract_x
_atom_site_fract_y
_atom_site_fract_z
K1 K 0.000 0.000 0.000
Re1 Re 0.000 0.000 0.500
Tc1 Tc 0.500 0.500 0.312
Tc2 Tc 0.500 0.500 0.688
```

---

Record 2
A plane-wave DFT calculation with PBE-GGA was carried out for a relaxed structure of Ni2PBr.

Properties
Energy relative to the lowest polymorph listed for this composition in kJ per mole of atoms: 9.3
Total magnetic moment in μB per formula unit: 0.0
Final energy in eV/f.u.: -19.32
ΔE_f (raw) in eV per atom: -0.169
Calculated volume in Å³ per atom: 16.5
Space-group type: C2/m (12)

```
data_Ni2PBr
_cell_length_a 6.537
_cell_length_b 3.563
_cell_length_c 6.164
_cell_angle_alpha 90.00
_cell_angle_beta 113.20
_cell_angle_gamma 90.00
_space_group_name_H-M_alt 'P 1'
_space_group_IT_number 1
loop_
_space_group_symop_operation_xyz
'x,y,z'
loop_
_atom_site_label
_atom_site_type_symbol
_atom_site_fract_x
_atom_site_fract_y
_atom_site_fract_z
Ni1 Ni 0.120 0.000 0.371
Ni2 Ni 0.380 0.500 0.629
Ni3 Ni 0.620 0.500 0.371
Ni4 Ni 0.880 0.000 0.629
P1 P 0.000 0.500 0.500
P2 P 0.500 0.000 0.500
Br1 Br 0.000 0.500 0.000
Br2 Br 0.500 0.000 0.000
```

---

Record 3
A plane-wave DFT calculation with PBE-GGA was carried out for a relaxed structure of MgZn2Se2.

Properties
Energy relative to the lowest polymorph listed for this composition in kJ per mole of atoms: 3.2
Total magnetic moment in μB per formula unit: 0.0
Final energy in eV/f.u.: -13.61
ΔE_f (raw) in eV per atom: -0.500
Calculated volume in Å³ per atom: 22.8
Space-group type: P2_1/m (11)

```
data_MgZn2Se2
_cell_length_a 6.165
_cell_length_b 3.945
_cell_length_c 9.788
_cell_angle_alpha 90.00
_cell_angle_beta 106.52
_cell_angle_gamma 90.00
_space_group_name_H-M_alt 'P 1'
_space_group_IT_number 1
loop_
_space_group_symop_operation_xyz
'x,y,z'
loop_
_atom_site_label
_atom_site_type_symbol
_atom_site_fract_x
_atom_site_fract_y
_atom_site_fract_z
Mg1 Mg 0.070 0.250 0.250
Mg2 Mg 0.930 0.750 0.750
Zn1 Zn 0.165 0.750 0.548
Zn2 Zn 0.392 0.750 0.094
Zn3 Zn 0.608 0.250 0.906
Zn4 Zn 0.835 0.250 0.452
Se1 Se 0.219 0.250 0.934
Se2 Se 0.367 0.750 0.336
Se3 Se 0.633 0.250 0.664
Se4 Se 0.781 0.750 0.066
```

---

Record 4
A plane-wave DFT calculation with PBE-GGA was carried out for a relaxed structure of KRe2Ni.

Properties
Energy relative to the lowest polymorph listed for this composition in kJ per mole of atoms: 11.9
ΔH_f (0 K) in eV/f.u.: 3.27
Total magnetic moment in μB per formula unit: 0.0
Final energy in eV/f.u.: -28.50
Calculated volume in Å³ per atom: 17.0
Space-group type: Immm (71)

```
data_KRe2Ni
_cell_length_a 2.587
_cell_length_b 4.793
_cell_length_c 10.965
_cell_angle_alpha 90.00
_cell_angle_beta 90.00
_cell_angle_gamma 90.00
_space_group_name_H-M_alt 'P 1'
_space_group_IT_number 1
loop_
_space_group_symop_operation_xyz
'x,y,z'
loop_
_atom_site_label
_atom_site_type_symbol
_atom_site_fract_x
_atom_site_fract_y
_atom_site_fract_z
K1 K 0.000 0.000 0.000
K2 K 0.500 0.500 0.500
Re1 Re 0.000 0.500 0.208
Re2 Re 0.000 0.500 0.792
Re3 Re 0.500 0.000 0.292
Re4 Re 0.500 0.000 0.708
Ni1 Ni 0.000 0.000 0.500
Ni2 Ni 0.500 0.500 0.000
```

---

Record 5
A plane-wave DFT calculation with PBE-GGA was carried out for a relaxed structure of LaAsSe2.

Properties
Total magnetic moment in μB per formula unit: 0.0
Final energy in eV/f.u.: -20.88
ΔE_f (raw) in eV per atom: -1.083
Calculated volume in Å³ per atom: 23.8
Space-group type: Immm (71)

```
data_LaAsSe2
_cell_length_a 4.098
_cell_length_b 5.379
_cell_length_c 8.645
_cell_angle_alpha 90.00
_cell_angle_beta 90.00
_cell_angle_gamma 90.00
_space_group_name_H-M_alt 'P 1'
_space_group_IT_number 1
loop_
_space_group_symop_operation_xyz
'x,y,z'
loop_
_atom_site_label
_atom_site_type_symbol
_atom_site_fract_x
_atom_site_fract_y
_atom_site_fract_z
La1 La 0.000 0.000 0.000
La2 La 0.500 0.500 0.500
As1 As 0.000 0.000 0.500
As2 As 0.500 0.500 0.000
Se1 Se 0.000 0.500 0.201
Se2 Se 0.000 0.500 0.799
Se3 Se 0.500 0.000 0.299
Se4 Se 0.500 0.000 0.701
```

---

Record 6
A plane-wave DFT calculation with PBE-GGA was carried out for a relaxed structure of AcPrInNi.

Properties
ΔH_f (0 K) in eV/f.u.: -0.64
Total magnetic moment in μB per formula unit: 0.0
Final energy in eV/f.u.: -18.05
Calculated volume in Å³ per atom: 28.5
Space-group type: F-43m (216)

```
data_AcPrInNi
_cell_length_a 7.699
_cell_length_b 7.699
_cell_length_c 7.699
_cell_angle_alpha 90.00
_cell_angle_beta 90.00
_cell_angle_gamma 90.00
_space_group_name_H-M_alt 'P 1'
_space_group_IT_number 1
loop_
_space_group_symop_operation_xyz
'x,y,z'
loop_
_atom_site_label
_atom_site_type_symbol
_atom_site_fract_x
_atom_site_fract_y
_atom_site_fract_z
Ac1 Ac 0.000 0.000 0.000
Ac2 Ac 0.000 0.500 0.500
Ac3 Ac 0.500 0.000 0.500
Ac4 Ac 0.500 0.500 0.000
Pr1 Pr 0.000 0.000 0.500
Pr2 Pr 0.000 0.500 0.000
Pr3 Pr 0.500 0.000 0.000
Pr4 Pr 0.500 0.500 0.500
In1 In 0.250 0.250 0.750
In2 In 0.250 0.750 0.250
In3 In 0.750 0.250 0.250
In4 In 0.750 0.750 0.750
Ni1 Ni 0.250 0.250 0.250
Ni2 Ni 0.250 0.750 0.750
Ni3 Ni 0.750 0.250 0.750
Ni4 Ni 0.750 0.750 0.250
```

---

Record 7
A plane-wave DFT calculation with PBE-GGA was carried out for a relaxed structure of Mg2TeS.

Properties
Energy relative to the lowest polymorph listed for this composition in kJ per mole of atoms: 61.8
Total magnetic moment in μB per formula unit: 0.0
Final energy in eV/f.u.: -12.38
ΔE_f (raw) in eV per atom: -0.480
Calculated volume in Å³ per atom: 21.7
Space-group type: Fm-3m (225)

```
data_Mg2TeS
_cell_length_a 7.032
_cell_length_b 7.032
_cell_length_c 7.032
_cell_angle_alpha 90.00
_cell_angle_beta 90.00
_cell_angle_gamma 90.00
_space_group_name_H-M_alt 'P 1'
_space_group_IT_number 1
loop_
_space_group_symop_operation_xyz
'x,y,z'
loop_
_atom_site_label
_atom_site_type_symbol
_atom_site_fract_x
_atom_site_fract_y
_atom_site_fract_z
Mg1 Mg 0.250 0.250 0.250
Mg2 Mg 0.250 0.250 0.750
Mg3 Mg 0.250 0.750 0.250
Mg4 Mg 0.250 0.750 0.750
Mg5 Mg 0.750 0.250 0.250
Mg6 Mg 0.750 0.250 0.750
Mg7 Mg 0.750 0.750 0.250
Mg8 Mg 0.750 0.750 0.750
Te1 Te 0.000 0.000 0.000
Te2 Te 0.000 0.500 0.500
Te3 Te 0.500 0.000 0.500
Te4 Te 0.500 0.500 0.000
S1 S 0.000 0.000 0.500
S2 S 0.000 0.500 0.000
S3 S 0.500 0.000 0.000
S4 S 0.500 0.500 0.500
```

---

Q: Number 2 is which compound?
A: Ni2PBr

---

Q: What is the final energy in the first record?
A: -31.13 eV/f.u.